Record 1
Entry from Alexandria via LeMat-Bulk: CoNiPt2 at its PBEsol-relaxed geometry (meta-GGA SCAN).

Cell: 2.6671 2.6671 8.5819 Å, 81.06 81.06 60.00°
Last column: nearest neighbours and their distance in Å.
Atoms (fractional coordinates):
Ni: 0.0000 0.0000 0.0000  6 Pt 2.62, 6 Ni 2.67
Co: 0.5000 0.5000 0.5000  6 Pt 2.60, 6 Co 2.67
Pt: 0.2496 0.2496 0.2512  3 Co 2.60, 3 Ni 2.62, 6 Pt 2.67
Pt: 0.7504 0.7504 0.7488  3 Co 2.60, 3 Ni 2.62, 6 Pt 2.67

Formation enthalpy at 0 K (eV/atom): -0.131
V (Å³ per cell): 52.0


Record 2
Entry from Alexandria via LeMat-Bulk: CoNi2Pt at its PBEsol-relaxed geometry (meta-GGA SCAN).

Cell: 2.5930 4.3804 4.3804 Å, 109.00 90.00 90.00°
Last column: nearest neighbours and their distance in Å.
Atoms (fractional coordinates):
Ni: 0.0000 0.5000 0.0000  4 Ni 2.54-2.59, 4 Co 2.55, 4 Pt 2.55
Ni: 0.0000 0.0000 0.5000  4 Ni 2.54-2.59, 4 Pt 2.55, 4 Co 2.55
Co: 0.5000 0.5000 0.5000  2 Pt 2.54, 8 Ni 2.55, 2 Co 2.59
Pt: 0.5000 0.0000 0.0000  2 Co 2.54, 8 Ni 2.55, 2 Pt 2.59

Formation enthalpy at 0 K (eV/atom): -0.090
V (Å³ per cell): 47.0


Record 3
Entry from Alexandria via LeMat-Bulk: CoNiPt2 at its PBEsol-relaxed geometry (meta-GGA SCAN).

Cell: 2.6669 4.4902 4.6276 Å, 99.81 90.00 107.28°
Last column: nearest neighbours and their distance in Å.
Atoms (fractional coordinates):
Ni: 0.5000 0.0000 0.0000  6 Pt 2.61-2.62, 2 Ni 2.67, 4 Co 2.67
Co: 0.0000 0.0000 0.5000  6 Pt 2.61, 2 Co 2.67, 4 Ni 2.67
Pt: 0.7494 0.4987 0.7494  3 Co 2.61, 3 Ni 2.61-2.62, 6 Pt 2.67
Pt: 0.2506 0.5013 0.2506  3 Co 2.61, 3 Ni 2.61-2.62, 6 Pt 2.67

Formation enthalpy at 0 K (eV/atom): -0.137
V (Å³ per cell): 52.1


Record 4
Entry from Alexandria via LeMat-Bulk: CoNiPt2 at its PBEsol-relaxed geometry (meta-GGA SCAN).

Cell: 3.7686 3.7686 4.5006 Å, 114.75 114.75 90.00°
Last column: nearest neighbours and their distance in Å.
Atoms (fractional coordinates):
Ni: 0.0000 0.0000 0.0000  8 Pt 2.62, 4 Co 2.66
Co: 0.5000 0.5000 0.0000  8 Pt 2.62, 4 Ni 2.66
Pt: 0.7500 0.2500 0.5000  4 Co 2.62, 4 Ni 2.62, 4 Pt 2.66
Pt: 0.2500 0.7500 0.5000  4 Co 2.62, 4 Ni 2.62, 4 Pt 2.66

Formation enthalpy at 0 K (eV/atom): -0.176
V (Å³ per cell): 51.5